[1]
! Zr3Al3CoNiAu, relaxed, DFT PBE; values from VASP
! density: 7.3 Mg/m³
&SYSTEM
  ibrav = 0, nat = 9, ntyp = 5
/
ATOMIC_SPECIES
Al 26.98 Al.upf
Au 196.97 Au.upf
Co 58.93 Co.upf
Ni 58.69 Ni.upf
Zr 91.22 Zr.upf
ATOMIC_POSITIONS angstrom
Al 2.652 0.549 0.000
Al 5.304 2.022 0.000
Al 2.702 3.582 0.000
Au 0.000 0.000 0.000
Co 0.000 4.102 0.000
Ni 3.553 2.051 1.744
Zr 0.698 2.230 1.744
Zr -1.971 4.434 1.744
Zr 1.273 5.643 1.744
CELL_PARAMETERS angstrom
7.105 0.000 0.000
-3.553 6.153 0.000
0.000 0.000 3.487

=====

[2]
! Lu8Bi2C3N3, relaxed, DFT PBE; values from VASP
! density: 11.4 Mg/m³
&SYSTEM
  ibrav = 0, nat = 16, ntyp = 4
/
ATOMIC_SPECIES
Bi 208.98 Bi.upf
C 12.01 C.upf
Lu 174.97 Lu.upf
N 14.01 N.upf
ATOMIC_POSITIONS angstrom
Bi 0.000 2.002 6.847
Bi 1.734 1.001 19.768
C 0.000 0.000 0.000
C 1.734 1.001 2.991
C 0.000 2.002 23.624
Lu 0.000 2.002 1.433
Lu 0.000 0.000 4.114
Lu 0.000 0.000 9.387
Lu 0.000 2.002 12.006
Lu 1.734 1.001 14.609
Lu 0.000 0.000 17.228
Lu 0.000 0.000 22.501
Lu 1.734 1.001 25.182
N 1.734 1.001 10.541
N 0.000 0.000 13.308
N 0.000 2.002 16.074
CELL_PARAMETERS angstrom
3.468 0.000 0.000
-1.734 3.004 0.000
0.000 0.000 26.615

=====

[3]
! BeCoCu4As2, relaxed, DFT PBE; values from VASP
! density: 7.8 Mg/m³
&SYSTEM
  ibrav = 0, nat = 8, ntyp = 4
/
ATOMIC_SPECIES
As 74.92 As.upf
Be 9.01 Be.upf
Co 58.93 Co.upf
Cu 63.55 Cu.upf
ATOMIC_POSITIONS angstrom
As 0.000 0.000 0.000
As 1.171 1.361 3.640
Be -0.570 2.254 1.265
Co 1.742 -0.892 2.375
Cu -0.649 0.051 2.489
Cu 1.799 1.396 1.199
Cu -1.198 2.220 3.707
Cu 1.250 3.564 2.416
CELL_PARAMETERS angstrom
-0.707 -2.237 3.665
4.190 0.452 1.084
-1.141 4.507 2.530

=====

[4]
! Al5Co7, relaxed, DFT PBE; values from VASP
! density: 5.9 Mg/m³
&SYSTEM
  ibrav = 0, nat = 24, ntyp = 2
/
ATOMIC_SPECIES
Al 26.98 Al.upf
Co 58.93 Co.upf
ATOMIC_POSITIONS angstrom
Al 2.402 0.000 0.000
Al -1.201 2.080 0.000
Al 1.201 2.080 0.000
Al 0.000 2.774 2.103
Al 0.000 2.774 5.577
Al 2.402 0.000 7.679
Al -1.201 2.080 7.679
Al 1.201 2.080 7.679
Al 2.402 1.387 9.782
Al 2.402 1.387 13.256
Co 0.000 0.000 1.400
Co 2.402 1.387 2.531
Co 0.000 1.282 3.840
Co -1.292 3.520 3.840
Co 1.292 3.520 3.840
Co 2.402 1.387 5.148
Co 0.000 0.000 6.279
Co 0.000 0.000 9.079
Co 0.000 2.774 10.211
Co 1.110 0.641 11.519
Co 3.694 0.641 11.519
Co 2.402 2.878 11.519
Co 0.000 2.774 12.827
Co 0.000 0.000 13.958
CELL_PARAMETERS angstrom
4.804 0.000 0.000
-2.402 4.161 0.000
0.000 0.000 15.359

=====

[5]
! NdBiI2O2, relaxed, DFT PBE; values from VASP
! density: 7.0 Mg/m³
&SYSTEM
  ibrav = 0, nat = 6, ntyp = 4
/
ATOMIC_SPECIES
Bi 208.98 Bi.upf
I 126.90 I.upf
Nd 144.24 Nd.upf
O 16.00 O.upf
ATOMIC_POSITIONS angstrom
Bi -2.687 -0.549 1.467
I 0.267 0.102 3.049
I -2.251 -0.383 6.448
Nd 0.704 0.268 8.041
O -0.887 1.414 9.333
O -0.291 -1.389 9.375
CELL_PARAMETERS angstrom
-3.388 2.213 0.223
-2.196 -3.392 0.305
0.808 0.308 9.230

=====

[6]
! Ac2Pd2Pb, relaxed, DFT PBE; values from VASP
! density: 10.5 Mg/m³
&SYSTEM
  ibrav = 0, nat = 10, ntyp = 3
/
ATOMIC_SPECIES
Ac 227.00 Ac.upf
Pb 207.20 Pb.upf
Pd 106.42 Pd.upf
ATOMIC_POSITIONS angstrom
Ac 2.650 1.455 2.061
Ac 6.754 2.650 2.061
Ac 1.455 5.559 2.061
Ac 5.559 6.754 2.061
Pb 0.000 0.000 0.000
Pb 4.104 4.104 0.000
Pd 5.114 1.009 0.000
Pd 1.009 3.095 0.000
Pd 7.199 5.114 0.000
Pd 3.095 7.199 0.000
CELL_PARAMETERS angstrom
8.209 0.000 0.000
0.000 8.209 0.000
0.000 0.000 4.122

=====

[7]
! Dy2Y3Lu2Ni2Te2, relaxed, DFT PBE; values from VASP
! density: 7.7 Mg/m³
&SYSTEM
  ibrav = 0, nat = 11, ntyp = 5
/
ATOMIC_SPECIES
Dy 162.50 Dy.upf
Lu 174.97 Lu.upf
Ni 58.69 Ni.upf
Te 127.60 Te.upf
Y 88.91 Y.upf
ATOMIC_POSITIONS angstrom
Dy -2.106 -4.532 -0.205
Dy -5.462 -9.212 -0.437
Lu 6.326 2.396 2.125
Lu -0.330 -6.884 1.665
Ni 0.947 -5.300 -0.181
Ni -3.100 -2.837 1.769
Te 1.048 -0.751 -0.010
Te -2.643 -7.690 -0.332
Y 3.690 -2.645 -0.035
Y 3.174 0.433 1.998
Y 0.518 -3.271 1.814
CELL_PARAMETERS angstrom
-0.655 -9.019 -2.275
8.359 3.497 2.201
-8.425 -3.641 1.647

=====

[8]
! HfCuAgBi, relaxed, DFT PBE; values from VASP
! density: 11.5 Mg/m³
&SYSTEM
  ibrav = 0, nat = 4, ntyp = 4
/
ATOMIC_SPECIES
Ag 107.87 Ag.upf
Bi 208.98 Bi.upf
Cu 63.55 Cu.upf
Hf 178.49 Hf.upf
ATOMIC_POSITIONS angstrom
Ag 2.427 2.438 4.854
Bi 0.000 0.000 0.000
Cu 3.641 3.657 7.281
Hf 1.214 1.219 2.427
CELL_PARAMETERS angstrom
3.148 3.328 1.616
-0.925 2.427 4.105
2.632 -0.880 3.987

=====

[9]
! LiPrIn, relaxed, DFT PBE; values from VASP
! density: 4.7 Mg/m³
&SYSTEM
  ibrav = 0, nat = 3, ntyp = 3
/
ATOMIC_SPECIES
In 114.82 In.upf
Li 6.94 Li.upf
Pr 140.91 Pr.upf
ATOMIC_POSITIONS angstrom
In 0.000 0.000 0.000
Li 2.271 -1.120 1.813
Pr 6.813 -3.361 5.440
CELL_PARAMETERS angstrom
4.844 0.592 1.431
1.376 -0.997 4.794
2.864 -4.075 1.028

=====

[10]
! YEr2N3, relaxed, DFT PBE; values from VASP
! density: 9.0 Mg/m³
&SYSTEM
  ibrav = 0, nat = 6, ntyp = 3
/
ATOMIC_SPECIES
Er 167.26 Er.upf
N 14.01 N.upf
Y 88.91 Y.upf
ATOMIC_POSITIONS angstrom
Er -2.278 -0.740 -0.361
Er -4.365 -4.326 3.919
N 0.000 0.000 0.000
N -1.818 -2.731 0.929
N -4.825 -2.334 2.629
Y -2.525 -1.581 2.965
CELL_PARAMETERS angstrom
-2.732 1.255 -1.658
1.139 -3.159 -0.714
-5.050 -3.161 5.930

=====

[11]
! NiBi, relaxed, DFT PBE; values from VASP
! density: 11.2 Mg/m³
&SYSTEM
  ibrav = 0, nat = 4, ntyp = 2
/
ATOMIC_SPECIES
Bi 208.98 Bi.upf
Ni 58.69 Ni.upf
ATOMIC_POSITIONS angstrom
Bi 2.090 1.207 1.315
Bi 0.000 2.413 3.945
Ni 0.000 0.000 0.000
Ni 0.000 0.000 2.630
CELL_PARAMETERS angstrom
4.180 0.000 0.000
-2.090 3.620 0.000
0.000 0.000 5.260

=====

[12]
! Hf2FeOs, relaxed, DFT PBE; values from VASP
! density: 15.3 Mg/m³
! ΔE_f: -0.52 eV per atom
&SYSTEM
  ibrav = 0, nat = 16, ntyp = 3
/
ATOMIC_SPECIES
Fe 55.84 Fe.upf
Hf 178.49 Hf.upf
Os 190.23 Os.upf
ATOMIC_POSITIONS angstrom
Fe 4.798 1.132 1.131
Fe 1.599 3.395 3.394
Fe 4.798 1.132 5.657
Fe 1.599 3.395 7.920
Hf 3.199 3.395 1.131
Hf 0.000 3.395 1.131
Hf 3.199 1.132 3.394
Hf 0.000 1.132 3.394
Hf 3.199 3.395 5.657
Hf 0.000 3.395 5.657
Hf 3.199 1.132 7.920
Hf 0.000 1.132 7.920
Os 1.599 1.132 1.131
Os 4.798 3.395 3.394
Os 1.599 1.132 5.657
Os 4.798 3.395 7.920
CELL_PARAMETERS angstrom
6.398 0.000 0.000
0.000 4.526 0.000
0.000 0.000 9.051

=====

These records have uncorrected energy values of -0.2395 -0.2581 -0.1515 -0.2036 -0.1999 -0.1933 -0.2090 -0.1791 -0.1178 -0.3129 -0.1781 -0.3816 Ha/atom, in the order they appear.